No. 1
VASP calculation (GGA-PBE) on crystalline PrEr2Mg at its relaxed geometry.

a b c (Å): 5.123 5.123 18.455
angles (deg): 90.00 90.00 90.00
Element x y z (fractional)
Pr  0.000  0.000  0.129
Pr  0.000  0.000  0.871
Pr  0.500  0.500  0.371
Pr  0.500  0.500  0.629
Er  0.000  0.000  0.366
Er  0.000  0.000  0.634
Er  0.000  0.500  0.000
Er  0.000  0.500  0.500
Er  0.500  0.000  0.000
Er  0.500  0.000  0.500
Er  0.500  0.500  0.134
Er  0.500  0.500  0.866
Mg  0.000  0.500  0.250
Mg  0.000  0.500  0.750
Mg  0.500  0.000  0.250
Mg  0.500  0.000  0.750

Properties
Raw total energy ... -15.6 eV/f.u.
ρ ... 6.85 g cm⁻³
D(E_F) ... 1.10 states/eV/atom

***

No. 2
VASP calculation (GGA-PBE) on crystalline Dy3Y2Ho6Mg at its relaxed geometry.

a b c (Å): 6.094 6.094 11.652
angles (deg): 95.04 95.04 120.04
Element x y z (fractional)
Dy  0.000  0.000  0.000
Dy  0.334  0.666  0.000
Dy  0.666  0.334  0.000
Y  0.166  0.834  0.500
Y  0.834  0.166  0.500
Ho  0.085  0.418  0.251
Ho  0.249  0.249  0.750
Ho  0.418  0.085  0.251
Ho  0.582  0.915  0.749
Ho  0.751  0.751  0.250
Ho  0.915  0.582  0.749
Mg  0.500  0.500  0.500

Properties
Raw total energy ... -55.4 eV/f.u.
ρ ... 7.56 g cm⁻³
D(E_F) ... 1.47 states/eV/atom

***

No. 3
VASP calculation (GGA-PBE) on crystalline Mg2SbCl at its relaxed geometry.

a b c (Å): 7.957 7.763 3.445
angles (deg): 90.00 112.70 90.00
Element x y z (fractional)
Mg  0.250  0.250  0.000
Mg  0.250  0.750  0.000
Mg  0.750  0.250  0.000
Mg  0.750  0.750  0.000
Sb  0.000  0.000  0.500
Sb  0.500  0.500  0.500
Cl  0.000  0.500  0.500
Cl  0.500  0.000  0.500

Properties
Raw total energy ... -11.4 eV/f.u.
ρ ... 3.48 g cm⁻³
Formation energy without anion corrections ... -572.2 meV per atom
D(E_F) ... 0.34 states/eV/atom

***

No. 4
VASP calculation (GGA-PBE) on crystalline Y4Sn8Pd at its relaxed geometry.

a b c (Å): 4.393 4.417 17.263
angles (deg): 90.00 90.00 90.00
Element x y z (fractional)
Y  0.000  0.000  0.000
Y  0.000  0.500  0.480
Y  0.500  0.000  0.786
Y  0.500  0.500  0.287
Sn  0.000  0.000  0.320
Sn  0.000  0.000  0.619
Sn  0.000  0.500  0.142
Sn  0.000  0.500  0.858
Sn  0.500  0.000  0.146
Sn  0.500  0.000  0.439
Sn  0.500  0.500  0.618
Sn  0.500  0.500  0.971
Pd  0.000  0.500  0.709

Properties
Raw total energy ... -71.0 eV/f.u.
ρ ... 7.00 g cm⁻³
D(E_F) ... 0.46 states/eV/atom

***

No. 5
VASP calculation (GGA-PBE) on crystalline CuSi2Sb at its relaxed geometry.

a b c (Å): 5.180 5.941 4.591
angles (deg): 90.00 90.00 90.00
Element x y z (fractional)
Cu  0.000  0.000  0.000
Cu  0.500  0.500  0.000
Si  0.000  0.206  0.500
Si  0.000  0.794  0.500
Si  0.500  0.294  0.500
Si  0.500  0.706  0.500
Sb  0.000  0.500  0.000
Sb  0.500  0.000  0.000

Properties
Raw total energy ... -18.0 eV/f.u.
ρ ... 5.68 g cm⁻³
Formation energy without anion corrections ... 265.9 meV per atom
D(E_F) ... 0.37 states/eV/atom

***

No. 6
VASP calculation (GGA-PBE) on crystalline In6BiPb4 at its relaxed geometry.

a b c (Å): 5.972 5.972 18.636
angles (deg): 93.14 93.14 100.48
Element x y z (fractional)
In  0.000  0.000  0.000
In  0.000  0.000  0.500
In  0.107  0.572  0.582
In  0.146  0.174  0.680
In  0.174  0.146  0.180
In  0.261  0.739  0.750
In  0.428  0.893  0.918
In  0.572  0.107  0.082
In  0.739  0.261  0.250
In  0.826  0.854  0.820
In  0.854  0.826  0.320
In  0.893  0.428  0.418
Bi  0.317  0.683  0.250
Bi  0.683  0.317  0.750
Pb  0.205  0.331  0.862
Pb  0.264  0.549  0.051
Pb  0.331  0.205  0.362
Pb  0.451  0.736  0.449
Pb  0.549  0.264  0.551
Pb  0.669  0.795  0.638
Pb  0.736  0.451  0.949
Pb  0.795  0.669  0.138

Properties
Raw total energy ... -34.7 eV/f.u.
ρ ... 8.81 g cm⁻³
D(E_F) ... 0.43 states/eV/atom

***

No. 7
VASP calculation (GGA-PBE) on crystalline Tb2Cd15In2 at its relaxed geometry.

a b c (Å): 7.670 7.670 7.670
angles (deg): 83.64 83.64 83.64
Element x y z (fractional)
Tb  0.169  0.169  0.169
Tb  0.831  0.831  0.831
Cd  0.000  0.500  0.500
Cd  0.148  0.148  0.672
Cd  0.148  0.672  0.148
Cd  0.181  0.500  0.819
Cd  0.181  0.819  0.500
Cd  0.328  0.852  0.852
Cd  0.500  0.000  0.500
Cd  0.500  0.181  0.819
Cd  0.500  0.500  0.000
Cd  0.500  0.819  0.181
Cd  0.672  0.148  0.148
Cd  0.819  0.181  0.500
Cd  0.819  0.500  0.181
Cd  0.852  0.328  0.852
Cd  0.852  0.852  0.328
In  0.399  0.399  0.399
In  0.601  0.601  0.601

Properties
Raw total energy ... -30.3 eV/f.u.
ρ ... 8.36 g cm⁻³
D(E_F) ... 0.38 states/eV/atom

***

No. 8
VASP calculation (GGA-PBE) on crystalline KAs2W at its relaxed geometry.

a b c (Å): 6.810 6.810 6.810
angles (deg): 90.00 90.00 90.00
Element x y z (fractional)
K  0.000  0.000  0.000
K  0.000  0.500  0.500
K  0.500  0.000  0.500
K  0.500  0.500  0.000
As  0.000  0.000  0.500
As  0.000  0.500  0.000
As  0.250  0.250  0.750
As  0.250  0.750  0.250
As  0.500  0.000  0.000
As  0.500  0.500  0.500
As  0.750  0.250  0.250
As  0.750  0.750  0.750
W  0.250  0.250  0.250
W  0.250  0.750  0.750
W  0.750  0.250  0.750
W  0.750  0.750  0.250

Properties
Raw total energy ... -18.3 eV/f.u.
ρ ... 7.84 g cm⁻³
D(E_F) ... 0.75 states/eV/atom

***

No. 9
VASP calculation (GGA-PBE) on crystalline Ti2MnIn2S6 at its relaxed geometry.

a b c (Å): 6.157 6.157 7.537
angles (deg): 97.67 97.67 120.40
Element x y z (fractional)
Ti  0.167  0.833  0.000
Ti  0.833  0.167  0.000
Mn  0.500  0.500  0.000
In  0.335  0.665  0.500
In  0.665  0.335  0.500
S  0.095  0.438  0.807
S  0.225  0.225  0.189
S  0.438  0.095  0.807
S  0.562  0.905  0.193
S  0.775  0.775  0.811
S  0.905  0.562  0.193

Properties
Raw total energy ... -64.9 eV/f.u.
ρ ... 4.01 g cm⁻³
Formation energy without anion corrections ... -880.6 meV per atom
D(E_F) ... 0.22 states/eV/atom

***

No. 10
VASP calculation (GGA-PBE) on crystalline Li3NO at its relaxed geometry.

a b c (Å): 3.692 3.692 3.692
angles (deg): 90.00 90.00 90.00
Element x y z (fractional)
Li  0.000  0.000  0.500
Li  0.000  0.500  0.000
Li  0.500  0.000  0.000
N  0.500  0.500  0.500
O  0.000  0.000  0.000

Properties
Raw total energy ... -22.0 eV/f.u.
ρ ... 1.68 g cm⁻³
Formation energy without anion corrections ... -602.0 meV per atom
D(E_F) ... 0.38 states/eV/atom

***

No. 11
VASP calculation (GGA-PBE) on crystalline HfIn2Pd at its relaxed geometry.

a b c (Å): 3.206 3.206 7.707
angles (deg): 90.00 90.00 90.00
Element x y z (fractional)
Hf  0.000  0.000  0.000
In  0.500  0.500  0.276
In  0.500  0.500  0.724
Pd  0.000  0.000  0.500

Properties
Raw total energy ... -22.0 eV/f.u.
ρ ... 10.79 g cm⁻³
D(E_F) ... 0.42 states/eV/atom

***

No. 12
VASP calculation (GGA-PBE) on crystalline Ti6Ge4Ir at its relaxed geometry.

a b c (Å): 7.925 7.925 7.925
angles (deg): 142.19 142.19 54.54
Element x y z (fractional)
Ti  0.000  0.500  0.500
Ti  0.080  0.080  0.517
Ti  0.437  0.920  0.000
Ti  0.500  0.000  0.500
Ti  0.563  0.563  0.483
Ti  0.920  0.437  0.000
Ge  0.104  0.625  0.000
Ge  0.375  0.375  0.479
Ge  0.625  0.104  0.000
Ge  0.896  0.896  0.521
Ir  0.500  0.500  0.000

Properties
Raw total energy ... -81.4 eV/f.u.
ρ ... 6.88 g cm⁻³
D(E_F) ... 0.60 states/eV/atom